Density functional theory data (PBE-GGA) for an optimized crystal structure of H3OsBr6.

It has space group P-1 (No. 2), with a = 6.0193 Å, b = 6.7560 Å, c = 7.0560 Å, α = 61.45°, β = 87.11° and γ = 88.53°. The asymmetric unit holds H at (0.0000, 0.0000, 0.0000), H at (0.4876, 0.3635, 0.2740), Os at (0.0000, 0.5000, 0.0000), Br at (0.2088, 0.1697, 0.9997), Br at (0.2379, 0.4858, 0.2892) and Br at (0.2628, 0.7742, 0.7098).

For the raw total energy, the calculation gives -3.247 eV/atom.

=====

Density functional theory data (PBE-GGA) for an optimized crystal structure of Ce4DyPd15.

It has space group P4/mmm (No. 123), with a = 4.1539 Å, b = 4.1539 Å, c = 20.7064 Å, α = 90.00°, β = 90.00° and γ = 90.00°. The asymmetric unit holds Ce at (0.0000, 0.0000, 0.1008), Ce at (0.0000, 0.0000, 0.3026), Dy at (0.0000, 0.0000, 0.5000), Pd at (0.0000, 0.5000, 0.0000), Pd at (0.0000, 0.5000, 0.2008), Pd at (0.0000, 0.5000, 0.4002), Pd at (0.5000, 0.5000, 0.1002), Pd at (0.5000, 0.5000, 0.3006) and Pd at (0.5000, 0.5000, 0.5000).

The calculation puts the calculated formation energy at -0.846 eV per atom.